This record from Alexandria via LeMat-Bulk describes an optimized crystal structure of Pm2ZnTc. The functional is PBE.

For the magnetization, the calculation gives 0.00 μB per formula unit. For the density of states at the Fermi level, the calculation gives 1.6 states/eV/f.u. Its formation energy is -4.2 kJ/mol of atoms.

It has space group Fm-3m (No. 225), with a = 7.1475 Å, b = 7.1475 Å, c = 7.1475 Å, α = 90.00°, β = 90.00° and γ = 90.00°. The inequivalent atoms are Pm at (0.2500, 0.2500, 0.2500), Zn at (0.0000, 0.0000, 0.0000) and Tc at (0.0000, 0.0000, 0.5000).